Version A
This record from Alexandria describes SrLa2Zr after structural relaxation. The functional is GGA-PBE.

abc: 4.0901 4.0901 8.7156
angles: 90.00 90.00 90.00
Closest atoms and distances in Å follow each position.
Space group P4mm (No. 99)
Inequivalent atoms, fractional coordinates:
Sr (0.0000, 0.0000, 0.0000) (multiplicity 1)  1 La 3.63, 4 Zr 3.70
La (0.0000, 0.0000, 0.4162) (multiplicity 1)  4 Zr 3.18
La (0.5000, 0.5000, 0.6657) (multiplicity 1)  1 Zr 3.49, 4 La 3.62
Zr (0.5000, 0.5000, 0.2655) (multiplicity 1)  5 La 3.18-3.49

Summary:
Its magnetization is 0.50 μB per formula unit.



Version B
This record from Alexandria describes SrLa2Zr after structural relaxation. The functional is GGA-PBE.

abc: 8.2605 8.2605 8.2605
angles: 90.00 90.00 90.00
Closest atoms and distances in Å follow each position.
Space group F-43m (No. 216)
Inequivalent atoms, fractional coordinates:
Sr (0.0000, 0.0000, 0.0000) (multiplicity 4)  4 La 3.58, 4 Zr 3.58
La (0.0000, 0.0000, 0.5000) (multiplicity 4)  4 Zr 3.58, 4 La 3.58
La (0.2500, 0.2500, 0.7500) (multiplicity 4)  4 La 3.58, 4 Sr 3.58
Zr (0.2500, 0.2500, 0.2500) (multiplicity 4)  4 Sr 3.58, 4 La 3.58

Summary:
Its magnetization is 2.35 μB per formula unit.



Version C
This record from Alexandria describes SrLa2Zr after structural relaxation. The functional is GGA-PBE.

abc: 8.2132 8.2132 8.2132
angles: 90.00 90.00 90.00
Closest atoms and distances in Å follow each position.
Space group Fm-3m (No. 225)
Inequivalent atoms, fractional coordinates:
Sr (0.0000, 0.0000, 0.0000) (multiplicity 4)  8 La 3.56
La (0.2500, 0.2500, 0.2500) (multiplicity 8)  4 Sr 3.56, 4 Zr 3.56
Zr (0.0000, 0.0000, 0.5000) (multiplicity 4)  8 La 3.56

Summary:
Its magnetization is 1.71 μB per formula unit.



Which of them is most stable? Easy: version A.



Version A
This record from Alexandria describes SrLa2Zr after structural relaxation. The functional is GGA-PBE.

abc: 5.3454 5.3454 9.6208
angles: 90.00 90.00 90.00
Closest atoms and distances in Å follow each position.
Space group I4/mmm (No. 139)
Inequivalent atoms, fractional coordinates:
Sr (0.0000, 0.0000, 0.0000) (multiplicity 2)  8 La 3.60, 4 Zr 3.78
La (0.0000, 0.5000, 0.2500) (multiplicity 4)  4 Zr 3.60, 4 Sr 3.60, 4 La 3.78
Zr (0.0000, 0.0000, 0.5000) (multiplicity 2)  8 La 3.60, 4 Sr 3.78

Summary:
Its magnetization is 0.00 μB per formula unit.



Version B
This record from Alexandria describes SrLa2Zr after structural relaxation. The functional is GGA-PBE.

abc: 7.4397 10.1236 3.6420
angles: 90.00 90.00 90.00
Closest atoms and distances in Å follow each position.
Space group Cmmm (No. 65)
Inequivalent atoms, fractional coordinates:
Sr (0.0000, 0.0000, 0.0000) (multiplicity 2)  8 La 3.63, 2 Sr 3.64, 2 Zr 3.72
La (0.2500, 0.2500, 0.5000) (multiplicity 4)  4 Zr 3.63, 4 Sr 3.63, 4 La 3.64-3.72
Zr (0.0000, 0.5000, 0.0000) (multiplicity 2)  8 La 3.63, 2 Zr 3.64, 2 Sr 3.72

Summary:
Its magnetization is 0.00 μB per formula unit.



Which of them is most stable? Easy: version A.



Version A
This record from Alexandria describes SrLa3Zr after structural relaxation. The functional is GGA-PBE.

abc: 5.7776 5.7776 5.7776
angles: 90.00 90.00 90.00
Closest atoms and distances in Å follow each position.
Space group Pm-3m (No. 221)
Inequivalent atoms, fractional coordinates:
Sr (0.0000, 0.0000, 0.0000) (multiplicity 1)  6 La 2.89
La (0.0000, 0.0000, 0.5000) (multiplicity 3)  2 Sr 2.89
Zr (0.5000, 0.5000, 0.5000) (multiplicity 1)  12 La 4.09

Summary:
Its magnetization is 0.00 μB per formula unit.



Version B
This record from Alexandria describes SrLa3Zr after structural relaxation. The functional is GGA-PBE.

abc: 5.9234 5.9234 5.9234
angles: 90.00 90.00 90.00
Closest atoms and distances in Å follow each position.
Space group Pm-3m (No. 221)
Inequivalent atoms, fractional coordinates:
Sr (0.0000, 0.0000, 0.0000) (multiplicity 1)  12 La 4.19
La (0.0000, 0.5000, 0.5000) (multiplicity 3)  2 Zr 2.96
Zr (0.5000, 0.5000, 0.5000) (multiplicity 1)  6 La 2.96

Summary:
Its magnetization is 0.00 μB per formula unit.



Which of them is most stable? Easy: version B.



Version A
This record from Alexandria describes Sr2La2Zr after structural relaxation. The functional is GGA-PBE.

abc: 7.9185 7.9185 6.4385
angles: 90.00 90.00 90.00
Closest atoms and distances in Å follow each position.
Space group P4/mbm (No. 127)
Inequivalent atoms, fractional coordinates:
Sr (0.1801, 0.3199, 0.0000) (multiplicity 4)  2 La 3.68, 5 Sr 4.03-4.11
La (0.1608, 0.6608, 0.5000) (multiplicity 4)  2 Zr 2.97
Zr (0.0000, 0.0000, 0.5000) (multiplicity 2)  4 La 2.97

Summary:
Its magnetization is 0.01 μB per formula unit.



Version B
This record from Alexandria describes Sr2La2Zr after structural relaxation. The functional is GGA-PBE.

abc: 4.6319 4.6319 18.5059
angles: 90.00 90.00 90.00
Closest atoms and distances in Å follow each position.
Space group I4/mmm (No. 139)
Inequivalent atoms, fractional coordinates:
Sr (0.0000, 0.5000, 0.2500) (multiplicity 4)  4 Sr 3.28
La (0.0000, 0.0000, 0.0819) (multiplicity 4)  1 La 3.03
Zr (0.0000, 0.0000, 0.5000) (multiplicity 2)  8 La 3.61

Summary:
Its magnetization is 1.02 μB per formula unit.



Which of them is most stable? Easy: version A.